# 1
A plane-wave DFT calculation with PBE was carried out for a relaxed structure of PmAlBr.

a b c (Å): 4.2855 4.2855 34.7543
angles (deg): 90.00 90.00 120.00
Space group R-3m (No. 166, hexagonal axes)
Unique sites:
1 Pm 0.0000 0.0000 0.0616
2 Al 0.0000 0.0000 0.3390
3 Br 0.0000 0.0000 0.2211

## Properties
E_tot = -4.498 eV per atom

=====

# 2
A plane-wave DFT calculation with PBE was carried out for a relaxed structure of Pm3AlBr3.

a b c (Å): 5.984 5.984 5.984
angles (deg): 90.00 90.00 90.00
Space group Pm-3m (No. 221)
Unique sites:
1 Pm 0.000 0.000 0.500
2 Al 0.000 0.000 0.000
3 Br 0.000 0.500 0.500

## Properties
E_tot = -4.502 eV per atom

=====

# 3
A plane-wave DFT calculation with PBE was carried out for a relaxed structure of PrAl3Br12.

a b c (Å): 10.6331 10.6331 18.8109
angles (deg): 90.00 90.00 120.00
Space group P3_121 (No. 152)
Unique sites:
1 Pr 0.0000 0.7323 0.1667
2 Al 0.0000 0.0985 0.6667
3 Al 0.3039 0.6354 0.2224
4 Br 0.0319 0.2360 0.7688
5 Br 0.0710 0.1969 0.3643
6 Br 0.0806 0.5869 0.2791
7 Br 0.1378 0.7136 0.8514
8 Br 0.2187 0.7150 0.6261
9 Br 0.2302 0.5231 0.4568

## Properties
E_tot = -3.568 eV per atom

=====

# 4
A plane-wave DFT calculation with PBE was carried out for a relaxed structure of AlPt2Br2.

a b c (Å): 4.056 6.802 14.587
angles (deg): 90.00 90.00 90.00
Space group Cmcm (No. 63)
Unique sites:
1 Al 0.000 0.009 0.250
2 Pt 0.000 0.345 0.163
3 Br 0.000 0.314 0.578

## Properties
E_tot = -4.042 eV per atom

=====

# 5
A plane-wave DFT calculation with PBE was carried out for a relaxed structure of AlPtBr6.

a b c (Å): 10.051 10.051 10.051
angles (deg): 90.00 90.00 90.00
Space group F-43m (No. 216)
Unique sites:
1 Al 0.000 0.000 0.000
2 Pt 0.250 0.250 0.750
3 Br 0.004 0.250 0.750

## Properties
E_tot = -2.576 eV per atom

=====

# 6
A plane-wave DFT calculation with PBE was carried out for a relaxed structure of Sm2AlSiBr2.

a b c (Å): 4.1302 4.1302 11.4925
angles (deg): 90.00 90.00 120.00
Space group P3m1 (No. 156)
Unique sites:
1 Sm 0.0000 0.0000 0.0000
2 Sm 0.0000 0.0000 0.3632
3 Al 0.6667 0.3333 0.1678
4 Si 0.3333 0.6667 0.1973
5 Br 0.3333 0.6667 0.8399
6 Br 0.6667 0.3333 0.5230

## Properties
E_tot = -4.877 eV per atom

=====

# 7
A plane-wave DFT calculation with PBE was carried out for a relaxed structure of TbSmAl2Br2.

a b c (Å): 4.2442 4.2442 11.3383
angles (deg): 90.00 90.00 120.00
Space group P3m1 (No. 156)
Unique sites:
1 Tb 0.0000 0.0000 0.0000
2 Sm 0.0000 0.0000 0.6290
3 Al 0.3333 0.6667 0.8355
4 Al 0.6667 0.3333 0.7982
5 Br 0.3333 0.6667 0.4728
6 Br 0.6667 0.3333 0.1513

## Properties
E_tot = -4.445 eV per atom

=====

# 8
A plane-wave DFT calculation with PBE was carried out for a relaxed structure of TbYAl2Br2.

a b c (Å): 4.2134 4.2134 11.2287
angles (deg): 90.00 90.00 120.00
Space group P3m1 (No. 156)
Unique sites:
1 Tb 0.0000 0.0000 0.0000
2 Y 0.0000 0.0000 0.6302
3 Al 0.3333 0.6667 0.8350
4 Al 0.6667 0.3333 0.7954
5 Br 0.3333 0.6667 0.4767
6 Br 0.6667 0.3333 0.1543

## Properties
E_tot = -4.724 eV per atom

=====

# 9
A plane-wave DFT calculation with PBE was carried out for a relaxed structure of AlTcBr6.

a b c (Å): 10.117 10.117 10.117
angles (deg): 90.00 90.00 90.00
Space group F-43m (No. 216)
Unique sites:
1 Al 0.000 0.000 0.000
2 Tc 0.250 0.250 0.250
3 Br 0.004 0.250 0.250

## Properties
E_tot = -3.223 eV per atom

=====

# 10
A plane-wave DFT calculation with PBE was carried out for a relaxed structure of ThAlBr.

a b c (Å): 7.387 4.265 12.057
angles (deg): 90.00 101.94 90.00
Space group C2/m (No. 12)
Unique sites:
1 Th 0.059 0.000 0.173
2 Al 0.165 0.500 0.995
3 Br 0.220 0.000 0.664

## Properties
E_tot = -5.241 eV per atom

=====

# 11
A plane-wave DFT calculation with PBE was carried out for a relaxed structure of AlWBr7.

a b c (Å): 7.146 6.285 15.219
angles (deg): 90.00 98.83 90.00
Space group Pc (No. 7)
Unique sites:
1 Al 0.000 0.015 0.000
2 W 0.246 0.423 0.135
3 Br 0.010 0.361 0.501
4 Br 0.130 0.353 0.744
5 Br 0.304 0.165 0.998
6 Br 0.429 0.184 0.240
7 Br 0.512 0.359 0.606
8 Br 0.784 0.117 0.883
9 Br 0.937 0.167 0.135

## Properties
E_tot = -3.808 eV per atom

=====

# 12
A plane-wave DFT calculation with PBE was carried out for a relaxed structure of ZrAlBr7.

a b c (Å): 7.342 6.366 15.562
angles (deg): 90.00 98.33 90.00
Space group Pc (No. 7)
Unique sites:
1 Zr 0.000 0.074 0.000
2 Al 0.736 0.483 0.856
3 Br 0.032 0.336 0.853
4 Br 0.173 0.323 0.105
5 Br 0.261 0.140 0.461
6 Br 0.525 0.376 0.744
7 Br 0.676 0.334 0.988
8 Br 0.751 0.149 0.357
9 Br 0.861 0.151 0.604

## Properties
E_tot = -3.905 eV per atom